No. 1
A relaxed structure of AlInN2O, computed with PBE-GGA.

Cell lengths 3.8690, 3.8690, 3.7075 Å; angles 90.00, 90.00, 90.00 degrees
With the nearest neighbours (Å) after each atom.
Element x y z (fractional)
Al (0.0000, 0.0000, 0.0000)  2 O 1.85, 4 N 1.93
In (0.5000, 0.5000, 0.5000)  8 N 2.68, 4 O 2.74
N (0.0000, 0.5000, 0.0000)  2 Al 1.93
N (0.5000, 0.0000, 0.0000)  2 Al 1.93
O (0.0000, 0.0000, 0.5000)  2 Al 1.85

Properties
symmetry = No. 123
mass density = 5.6 Mg/m³
raw total energy = -5.62 eV/atom

No. 2
A relaxed structure of TlAu3Br9, computed with PBE-GGA.

Cell lengths 11.2705, 11.2705, 12.8977 Å; angles 113.92, 113.92, 49.01 degrees
With the nearest neighbours (Å) after each atom.
Element x y z (fractional)
Tl (0.1526, 0.8474, 0.5000)  5 Br 3.00-3.29
Tl (0.8474, 0.1526, 0.0000)  5 Br 3.00-3.29
Au (0.1925, 0.3064, 0.9490)  4 Br 2.54-2.61
Au (0.3064, 0.1925, 0.4490)  4 Br 2.54-2.61
Au (0.3300, 0.4810, 0.7690)  4 Br 2.47-2.56
Au (0.4810, 0.3300, 0.2690)  4 Br 2.47-2.56
Au (0.7366, 0.8641, 0.2983)  4 Br 2.46-2.52
Au (0.8641, 0.7366, 0.7983)  4 Br 2.46-2.52
Br (0.0444, 0.2413, 0.9957)  1 Au 2.54
Br (0.0454, 0.7665, 0.9812)  1 Au 2.49
Br (0.1390, 0.4431, 0.5898)  2 Au 2.54-2.56
Br (0.2413, 0.0444, 0.4957)  1 Au 2.54
Br (0.2805, 0.6890, 0.6973)  1 Au 2.51
Br (0.2866, 0.3784, 0.3617)  2 Au 2.56-2.61
Br (0.3784, 0.2866, 0.8617)  2 Au 2.56-2.61
Br (0.4431, 0.1390, 0.0898)  2 Au 2.54-2.56
Br (0.4913, 0.9258, 0.3267)  2 Au 2.52-2.54
Br (0.5011, 0.5332, 0.4322)  1 Au 2.47
Br (0.5332, 0.5011, 0.9322)  1 Au 2.47
Br (0.6859, 0.7041, 0.6179)  1 Au 2.46
Br (0.6890, 0.2805, 0.1973)  1 Au 2.51
Br (0.7041, 0.6859, 0.1179)  1 Au 2.46
Br (0.7665, 0.0454, 0.4812)  1 Au 2.49
Br (0.7798, 0.9774, 0.7510)  1 Au 2.48
Br (0.9258, 0.4913, 0.8267)  2 Au 2.52-2.54
Br (0.9774, 0.7798, 0.2510)  1 Au 2.48

Properties
symmetry = No. 9
mass density = 4.5 Mg/m³
raw total energy = -2.30 eV/atom

No. 3
A relaxed structure of CaTbAlAg, computed with PBE-GGA.

Cell lengths 3.6777, 3.6777, 7.3523 Å; angles 90.00, 90.00, 90.00 degrees
With the nearest neighbours (Å) after each atom.
Element x y z (fractional)
Ca (0.0000, 0.0000, 0.0000)  4 Ag 3.25, 4 Al 3.25
Tb (0.0000, 0.0000, 0.4978)  4 Al 3.11, 4 Ag 3.13
Al (0.5000, 0.5000, 0.2659)  4 Tb 3.11, 4 Ca 3.25, 1 Ag 3.44
Ag (0.5000, 0.5000, 0.7343)  4 Tb 3.13, 4 Ca 3.25, 1 Al 3.44

Properties
energy relative to the elements = -0.30 eV per atom
offset from the most stable computed form = 0.0 meV/atom
symmetry = No. 99
mass density = 5.6 Mg/m³
raw total energy = -3.61 eV/atom

No. 4
A relaxed structure of Tm3Sn, computed with PBE-GGA.

Cell lengths 6.0928, 6.0928, 6.0928 Å; angles 135.71, 135.71, 64.43 degrees
With the nearest neighbours (Å) after each atom.
Element x y z (fractional)
Tm (0.0000, 0.0000, 0.0000)  4 Sn 3.25, 8 Tm 3.45
Tm (0.2500, 0.7500, 0.5000)  8 Tm 3.25-3.45, 4 Sn 3.45
Tm (0.7500, 0.2500, 0.5000)  8 Tm 3.25-3.45, 4 Sn 3.45
Sn (0.5000, 0.5000, 0.0000)  12 Tm 3.25-3.45

Properties
energy relative to the elements = -0.38 eV per atom
symmetry = No. 139
mass density = 9.5 Mg/m³
raw total energy = -4.74 eV/atom

No. 5
A relaxed structure of Pu2Tl3Te6Au, computed with PBE-GGA.

Cell lengths 7.6730, 7.6730, 8.4809 Å; angles 98.31, 98.31, 121.73 degrees
With the nearest neighbours (Å) after each atom.
Element x y z (fractional)
Pu (0.1644, 0.8356, 0.0000)  6 Te 3.05-3.10
Pu (0.8356, 0.1644, 0.0000)  6 Te 3.05-3.10
Tl (0.0000, 0.0000, 0.5000)  6 Te 3.46-3.54
Tl (0.3274, 0.6726, 0.5000)  6 Te 3.38-3.48
Tl (0.6726, 0.3274, 0.5000)  6 Te 3.38-3.48
Te (0.0949, 0.4315, 0.7851)  2 Pu 3.05-3.09, 1 Au 3.10, 2 Tl 3.38-3.39
Te (0.2548, 0.2548, 0.2084)  1 Au 2.90, 2 Pu 3.10
Te (0.4315, 0.0949, 0.7851)  2 Pu 3.05-3.09, 1 Au 3.10, 2 Tl 3.38-3.39
Te (0.5685, 0.9051, 0.2149)  2 Pu 3.05-3.09, 1 Au 3.10, 2 Tl 3.38-3.39
Te (0.7452, 0.7452, 0.7916)  1 Au 2.90, 2 Pu 3.10
Te (0.9051, 0.5685, 0.2149)  2 Pu 3.05-3.09, 1 Au 3.10, 2 Tl 3.38-3.39
Au (0.5000, 0.5000, 0.0000)  6 Te 2.90-3.10

Properties
symmetry = No. 12
mass density = 8.4 Mg/m³
raw total energy = -5.33 eV/atom

No. 6
A relaxed structure of Ba2AcTmS4, computed with PBE-GGA.

Cell lengths 7.3840, 4.2454, 7.5791 Å; angles 90.00, 108.67, 90.00 degrees
With the nearest neighbours (Å) after each atom.
Element x y z (fractional)
Ba (0.0000, 0.0000, 0.0000)  6 S 3.27-3.29
Ba (0.5000, 0.5000, 0.0000)  6 S 3.11-3.12
Ac (0.0000, 0.5000, 0.5000)  6 S 2.99
Tm (0.5000, 0.0000, 0.5000)  6 S 2.79-2.83
S (0.2611, 0.0000, 0.7205)  1 Tm 2.79, 2 Ac 2.99, 2 Ba 3.12
S (0.2808, 0.5000, 0.2894)  2 Tm 2.83, 1 Ac 2.99, 1 Ba 3.11
S (0.7192, 0.5000, 0.7106)  2 Tm 2.83, 1 Ac 2.99, 1 Ba 3.11
S (0.7389, 0.0000, 0.2795)  1 Tm 2.79, 2 Ac 2.99, 2 Ba 3.12

Properties
symmetry = No. 10
mass density = 5.9 Mg/m³
raw total energy = -5.60 eV/atom